[1]
# KMnRu2 | Alexandria via LeMat-Bulk | meta-GGA SCAN | single point on PBEsol structure
# E above lowest polymorph = 0.95 eV per formula unit
data_KMnRu2
_chemical_formula_sum 'K2 Mn2 Ru4'
_symmetry_space_group_name_H-M 'C 1 2/m 1'
_symmetry_Int_Tables_number 12
_cell_length_a 8.6962
_cell_length_b 2.7438
_cell_length_c 6.5871
_cell_angle_alpha 90.00
_cell_angle_beta 98.26
_cell_angle_gamma 90.00
loop_
_symmetry_equiv_pos_as_xyz
'x,y,z'
'-x,-y,-z'
'-x,y,-z'
'x,-y,z'
'x+1/2,y+1/2,z'
'-x+1/2,-y+1/2,-z'
'-x+1/2,y+1/2,-z'
'x+1/2,-y+1/2,z'
loop_
_atom_site_label
_atom_site_fract_x
_atom_site_fract_y
_atom_site_fract_z
_atom_site_occupancy
K1 0.0000 0.0000 0.0000 1
Mn1 0.0000 0.5000 0.5000 1
Ru1 0.2163 0.0000 0.6437 1

---

[2]
# KMnRu2 | Alexandria via LeMat-Bulk | meta-GGA SCAN | single point on PBEsol structure
# E above lowest polymorph = 3.34 eV per formula unit
data_KMnRu2
_chemical_formula_sum 'K1 Mn1 Ru2'
_symmetry_space_group_name_H-M 'P 4/m m m'
_symmetry_Int_Tables_number 123
_symmetry_space_group_name_Hall '-P 4 2'
_cell_length_a 5.0524
_cell_length_b 5.0524
_cell_length_c 2.5424
_cell_angle_alpha 90.00
_cell_angle_beta 90.00
_cell_angle_gamma 90.00
loop_
_atom_site_label
_atom_site_fract_x
_atom_site_fract_y
_atom_site_fract_z
_atom_site_occupancy
K1 0.0000 0.0000 0.0000 1
Mn1 0.5000 0.5000 0.0000 1
Ru1 0.0000 0.5000 0.5000 1

---

[3]
# KMn2Ru | Alexandria via LeMat-Bulk | meta-GGA SCAN | single point on PBEsol structure
# E above lowest polymorph = 1.76 eV per formula unit
data_KMn2Ru
_chemical_formula_sum 'K3 Mn6 Ru3'
_symmetry_space_group_name_H-M 'R -3 m'
_symmetry_Int_Tables_number 166
_symmetry_space_group_name_Hall '-R 3 2"'
_cell_length_a 2.6549
_cell_length_b 2.6549
_cell_length_c 29.4391
_cell_angle_alpha 90.00
_cell_angle_beta 90.00
_cell_angle_gamma 120.00
loop_
_atom_site_label
_atom_site_fract_x
_atom_site_fract_y
_atom_site_fract_z
_atom_site_occupancy
K1 0.0000 0.0000 0.0000 1
Mn1 0.0000 0.0000 0.2347 1
Ru1 0.0000 0.0000 0.5000 1

---

[4]
# KMn2Ru | Alexandria via LeMat-Bulk | meta-GGA SCAN | single point on PBEsol structure
# E above lowest polymorph = 0.79 eV per formula unit
data_KMn2Ru
_chemical_formula_sum 'K1 Mn2 Ru1'
_symmetry_space_group_name_H-M 'P 4 m m'
_symmetry_Int_Tables_number 99
_cell_length_a 2.8602
_cell_length_b 2.8602
_cell_length_c 8.5041
_cell_angle_alpha 90.00
_cell_angle_beta 90.00
_cell_angle_gamma 90.00
loop_
_symmetry_equiv_pos_as_xyz
'x,y,z'
'-y,x,z'
'-x,-y,z'
'y,-x,z'
'-x,y,z'
'y,x,z'
'x,-y,z'
'-y,-x,z'
loop_
_atom_site_label
_atom_site_fract_x
_atom_site_fract_y
_atom_site_fract_z
_atom_site_occupancy
K1 0.0000 0.0000 0.0000 1
Mn1 0.0000 0.0000 0.5283 1
Mn2 0.5000 0.5000 0.3467 1
Ru1 0.5000 0.5000 0.6844 1

---

[5]
# KMn2Ru | Alexandria via LeMat-Bulk | meta-GGA SCAN | single point on PBEsol structure
# E above lowest polymorph = 0.00 eV per formula unit
data_KMn2Ru
_chemical_formula_sum 'K1 Mn2 Ru1'
_symmetry_space_group_name_H-M 'P 4/m m m'
_symmetry_Int_Tables_number 123
_symmetry_space_group_name_Hall '-P 4 2'
_cell_length_a 3.0440
_cell_length_b 3.0440
_cell_length_c 8.3668
_cell_angle_alpha 90.00
_cell_angle_beta 90.00
_cell_angle_gamma 90.00
loop_
_atom_site_label
_atom_site_fract_x
_atom_site_fract_y
_atom_site_fract_z
_atom_site_occupancy
K1 0.0000 0.0000 0.0000 1
Mn1 0.5000 0.5000 0.3377 1
Ru1 0.0000 0.0000 0.5000 1

---

[6]
# KMn2Sb | Alexandria via LeMat-Bulk | meta-GGA SCAN | single point on PBEsol structure
# E_form (uncorrected) = 0.090 eV/atom
data_KMn2Sb
_chemical_formula_sum 'K3 Mn6 Sb3'
_symmetry_space_group_name_H-M 'R -3 m'
_symmetry_Int_Tables_number 166
_symmetry_space_group_name_Hall '-R 3 2"'
_cell_length_a 4.4444
_cell_length_b 4.4444
_cell_length_c 18.2188
_cell_angle_alpha 90.00
_cell_angle_beta 90.00
_cell_angle_gamma 120.00
loop_
_atom_site_label
_atom_site_fract_x
_atom_site_fract_y
_atom_site_fract_z
_atom_site_occupancy
K1 0.0000 0.0000 0.0000 1
Mn1 0.0000 0.0000 0.1876 1
Sb1 0.0000 0.0000 0.5000 1

---

[7]
# KMn2Sb | Alexandria via LeMat-Bulk | meta-GGA SCAN | single point on PBEsol structure
# E_form (uncorrected) = 0.291 eV/atom
data_KMn2Sb
_chemical_formula_sum 'K1 Mn2 Sb1'
_symmetry_space_group_name_H-M 'P 4/m m m'
_symmetry_Int_Tables_number 123
_symmetry_space_group_name_Hall '-P 4 2'
_cell_length_a 3.5222
_cell_length_b 3.5222
_cell_length_c 7.9578
_cell_angle_alpha 90.00
_cell_angle_beta 90.00
_cell_angle_gamma 90.00
loop_
_atom_site_label
_atom_site_fract_x
_atom_site_fract_y
_atom_site_fract_z
_atom_site_occupancy
K1 0.0000 0.0000 0.0000 1
Mn1 0.5000 0.5000 0.3412 1
Sb1 0.0000 0.0000 0.5000 1

---

[8]
# K2MnSb | Alexandria via LeMat-Bulk | meta-GGA SCAN | single point on PBEsol structure
# E_form (uncorrected) = -0.267 eV/atom
data_K2MnSb
_chemical_formula_sum 'K6 Mn3 Sb3'
_symmetry_space_group_name_H-M 'R 3 m'
_symmetry_Int_Tables_number 160
_symmetry_space_group_name_Hall 'R 3 -2"'
_cell_length_a 4.6411
_cell_length_b 4.6411
_cell_length_c 27.4974
_cell_angle_alpha 90.00
_cell_angle_beta 90.00
_cell_angle_gamma 120.00
loop_
_atom_site_label
_atom_site_fract_x
_atom_site_fract_y
_atom_site_fract_z
_atom_site_occupancy
K1 0.0000 0.0000 0.0000 1
K2 0.0000 0.0000 0.1755 1
Mn1 0.0000 0.0000 0.4212 1
Sb1 0.0000 0.0000 0.7545 1

---

[9]
# KMn2Sb | Alexandria via LeMat-Bulk | meta-GGA SCAN | single point on PBEsol structure
# E_form (uncorrected) = 0.109 eV/atom
data_KMn2Sb
_chemical_formula_sum 'K1 Mn2 Sb1'
_symmetry_space_group_name_H-M 'P m m 2'
_symmetry_Int_Tables_number 25
_cell_length_a 3.2631
_cell_length_b 3.2750
_cell_length_c 8.1055
_cell_angle_alpha 90.00
_cell_angle_beta 90.00
_cell_angle_gamma 90.00
loop_
_symmetry_equiv_pos_as_xyz
'x,y,z'
'-x,-y,z'
'-x,y,z'
'x,-y,z'
loop_
_atom_site_label
_atom_site_fract_x
_atom_site_fract_y
_atom_site_fract_z
_atom_site_occupancy
K1 0.0000 0.0000 0.0000 1
Mn1 0.0000 0.0000 0.4959 1
Mn2 0.5000 0.5000 0.3346 1
Sb1 0.5000 0.5000 0.6693 1

---

[10]
# K2MnSb | Alexandria via LeMat-Bulk | meta-GGA SCAN | single point on PBEsol structure
# E_form (uncorrected) = 0.023 eV/atom
data_K2MnSb
_chemical_formula_sum 'K2 Mn1 Sb1'
_symmetry_space_group_name_H-M 'P 4/m m m'
_symmetry_Int_Tables_number 123
_symmetry_space_group_name_Hall '-P 4 2'
_cell_length_a 4.5259
_cell_length_b 4.5259
_cell_length_c 5.4687
_cell_angle_alpha 90.00
_cell_angle_beta 90.00
_cell_angle_gamma 90.00
loop_
_atom_site_label
_atom_site_fract_x
_atom_site_fract_y
_atom_site_fract_z
_atom_site_occupancy
K1 0.0000 0.5000 0.0000 1
Mn1 0.0000 0.0000 0.5000 1
Sb1 0.5000 0.5000 0.5000 1

---

[11]
# KSc2Mn | Alexandria via LeMat-Bulk | meta-GGA SCAN | single point on PBEsol structure
# E above lowest polymorph = 1.36 eV per formula unit
data_KSc2Mn
_chemical_formula_sum 'K4 Sc8 Mn4'
_symmetry_space_group_name_H-M 'F -4 3 m'
_symmetry_Int_Tables_number 216
_symmetry_space_group_name_Hall 'F -4 2 3'
_cell_length_a 7.3335
_cell_length_b 7.3335
_cell_length_c 7.3335
_cell_angle_alpha 90.00
_cell_angle_beta 90.00
_cell_angle_gamma 90.00
loop_
_atom_site_label
_atom_site_fract_x
_atom_site_fract_y
_atom_site_fract_z
_atom_site_occupancy
K1 0.0000 0.0000 0.0000 1
Sc1 0.0000 0.0000 0.5000 1
Sc2 0.2500 0.2500 0.2500 1
Mn1 0.2500 0.2500 0.7500 1

---

[12]
# KSc2Mn | Alexandria via LeMat-Bulk | meta-GGA SCAN | single point on PBEsol structure
# E above lowest polymorph = 1.34 eV per formula unit
data_KSc2Mn
_chemical_formula_sum 'K2 Sc4 Mn2'
_symmetry_space_group_name_H-M 'C m m m'
_symmetry_Int_Tables_number 65
_symmetry_space_group_name_Hall '-C 2 2'
_cell_length_a 6.5969
_cell_length_b 8.8626
_cell_length_c 3.2340
_cell_angle_alpha 90.00
_cell_angle_beta 90.00
_cell_angle_gamma 90.00
loop_
_atom_site_label
_atom_site_fract_x
_atom_site_fract_y
_atom_site_fract_z
_atom_site_occupancy
K1 0.0000 0.0000 0.0000 1
Sc1 0.2500 0.2500 0.5000 1
Mn1 0.0000 0.5000 0.0000 1

---

[13]
# KSc2Mn | Alexandria via LeMat-Bulk | meta-GGA SCAN | single point on PBEsol structure
# E above lowest polymorph = 0.91 eV per formula unit
data_KSc2Mn
_chemical_formula_sum 'K4 Sc8 Mn4'
_symmetry_space_group_name_H-M 'F m -3 m'
_symmetry_Int_Tables_number 225
_symmetry_space_group_name_Hall '-F 4 2 3'
_cell_length_a 7.1685
_cell_length_b 7.1685
_cell_length_c 7.1685
_cell_angle_alpha 90.00
_cell_angle_beta 90.00
_cell_angle_gamma 90.00
loop_
_atom_site_label
_atom_site_fract_x
_atom_site_fract_y
_atom_site_fract_z
_atom_site_occupancy
K1 0.0000 0.0000 0.0000 1
Sc1 0.2500 0.2500 0.2500 1
Mn1 0.0000 0.0000 0.5000 1

---

Here are the calculated total energy numbers, same order: -186.8; -91.0; -229.9; -77.6; -78.4; -245.2; -80.9; -219.7; -81.7; -72.1; -208.8; -104.4; -210.6 (eV/cell).
Here are the calculated size of the total moment numbers, same order: 0.681; 1.227; 1.676; 1.640; 2.072; 1.826; 2.112; 1.182; 1.788; 1.035; 0.195; 0.488; 0.850 (μB per atom).